Entry 1:
## Sr2FeIr (GGA-PBEsol)

Data for crystalline Sr2FeIr at its relaxed geometry.

Cell lengths 3.8275, 4.9673, 10.4541 Å; angles 90.00, 90.00, 90.00 degrees
Space group Imm2 (No. 44)
One atom of each set of equivalent atoms:
Sr: 0.0000 0.0000 0.0000
Sr: 0.0000 0.5000 0.2147
Fe: 0.0000 0.5000 0.8018
Ir: 0.0000 0.0000 0.4291

Its formation enthalpy at 0 K is 0.247 eV per atom. Its density of states at the Fermi level is 1.06 states/eV/atom. For the final energy, the calculation gives -5.370 eV per atom. Its crystal system is orthorhombic.

***

Entry 2:
## Fe3Br (GGA-PBEsol)

Data for crystalline Fe3Br at its relaxed geometry.

Cell lengths 8.0321, 8.0321, 2.8562 Å; angles 90.00, 90.00, 120.00 degrees
Space group R-3m (No. 166, hexagonal axes)
One atom of each set of equivalent atoms:
Fe: 0.0000 0.5000 0.0000
Br: 0.0000 0.0000 0.0000

Its density of states at the Fermi level is 0.95 states/eV/atom. The value obtained for the formation energy without anion corrections is 0.726 eV/atom. The calculation puts the relative energy among the computed polymorphs at 0.159 eV per atom. For the final energy, the calculation gives -6.465 eV per atom. Its crystal system is trigonal.

***

Entry 3:
## Be3Os (GGA-PBEsol)

Data for crystalline Be3Os at its relaxed geometry.

Cell lengths 5.3482, 5.3482, 5.3482 Å; angles 90.00, 90.00, 90.00 degrees
Space group Fm-3m (No. 225)
One atom of each set of equivalent atoms:
Be: 0.0000 0.0000 0.0000
Be: 0.2500 0.2500 0.2500
Os: 0.0000 0.0000 0.5000

Its formation enthalpy at 0 K is -0.065 eV per atom. Its density of states at the Fermi level is 0.28 states/eV/atom. For the final energy, the calculation gives -6.119 eV per atom. Its crystal system is cubic.

***

Entry 4:
## YFeOs (GGA-PBEsol)

Data for crystalline YFeOs at its relaxed geometry.

Cell lengths 2.7845, 3.5394, 10.2011 Å; angles 90.00, 90.00, 90.00 degrees
Space group Imm2 (No. 44)
One atom of each set of equivalent atoms:
Y: 0.0000 0.0000 0.0000
Fe: 0.0000 0.0000 0.7065
Os: 0.0000 0.0000 0.2916

Its formation enthalpy at 0 K is 0.214 eV per atom. Its density of states at the Fermi level is 1.29 states/eV/atom. For the final energy, the calculation gives -9.120 eV per atom. Its crystal system is orthorhombic.

***

Entry 5:
## AlFe2BIr (GGA-PBEsol)

Data for crystalline AlFe2BIr at its relaxed geometry.

Cell lengths 3.7881, 3.7881, 4.0511 Å; angles 90.00, 90.00, 90.00 degrees
Space group P4/mmm (No. 123)
One atom of each set of equivalent atoms:
Al: 0.0000 0.0000 0.0000
Fe: 0.0000 0.5000 0.5000
B: 0.5000 0.5000 0.5000
Ir: 0.5000 0.5000 0.0000

Its formation enthalpy at 0 K is -0.231 eV per atom. Its density of states at the Fermi level is 0.66 states/eV/atom. For the final energy, the calculation gives -8.003 eV per atom. Its crystal system is tetragonal.

***

Entry 6:
## Li2SbP5O15 (GGA-PBEsol)

Data for crystalline Li2SbP5O15 at its relaxed geometry.

Cell lengths 5.3715, 14.9461, 8.0338 Å; angles 90.00, 98.75, 90.00 degrees
Space group P2_1/m (No. 11)
One atom of each set of equivalent atoms:
Li: 0.1277 0.1587 0.1636
Sb: 0.5000 0.0000 0.5000
P: 0.0112 0.1498 0.5242
P: 0.3235 0.0983 0.8531
P: 0.4104 0.7500 0.9669
O: 0.0266 0.2500 0.4588
O: 0.1395 0.7500 0.8890
O: 0.1505 0.1580 0.7101
O: 0.1591 0.0956 0.4122
O: 0.1806 0.0813 0.9925
O: 0.2597 0.6244 0.4776
O: 0.3874 0.2500 0.1426
O: 0.4217 0.0205 0.7618
O: 0.4457 0.6662 0.0960

Its density of states at the Fermi level is 0.00 states/eV/atom. The value obtained for the formation energy without anion corrections is -2.089 eV/atom. For the final energy, the calculation gives -7.141 eV per atom. Its crystal system is monoclinic.

***

Entry 7:
## TaSnN3 (GGA-PBEsol)

Data for crystalline TaSnN3 at its relaxed geometry.

Cell lengths 3.9681, 3.9681, 3.9681 Å; angles 90.00, 90.00, 90.00 degrees
Space group Pm-3m (No. 221)
One atom of each set of equivalent atoms:
Ta: 0.0000 0.0000 0.0000
Sn: 0.5000 0.5000 0.5000
N: 0.0000 0.5000 0.5000

Its density of states at the Fermi level is 0.44 states/eV/atom. The value obtained for the formation energy without anion corrections is 1.368 eV/atom. For the final energy, the calculation gives -7.110 eV per atom. Its crystal system is cubic.

***

Entry 8:
## LiNiAs2 (GGA-PBEsol)

Data for crystalline LiNiAs2 at its relaxed geometry.

Cell lengths 4.0950, 4.0950, 6.7191 Å; angles 90.00, 90.00, 90.00 degrees
Space group I4/mmm (No. 139)
One atom of each set of equivalent atoms:
Li: 0.0000 0.0000 0.0000
Ni: 0.0000 0.0000 0.5000
As: 0.0000 0.5000 0.2500

Its formation enthalpy at 0 K is -0.215 eV per atom. Its density of states at the Fermi level is 0.35 states/eV/atom. For the final energy, the calculation gives -4.799 eV per atom. Its crystal system is tetragonal.